# PBE Sr2CrTe, relaxed
# **Uncorrected formation energy**: -0.37 eV/atom
# **Density**: 4.350 Mg/m³
# **Total DFT energy (no corrections)**: -4.40 eV per atom
# **Total magnetic moment**: 1.084 μB/atom
data_Sr2CrTe
_symmetry_space_group_name_H-M 'A m m 2'
_symmetry_Int_Tables_number 38
_cell_length_a 4.6633
_cell_length_b 4.6384
_cell_length_c 12.5235
_cell_angle_alpha 90.00
_cell_angle_beta 90.00
_cell_angle_gamma 90.00
loop_
_symmetry_equiv_pos_as_xyz
'x,y,z'
'-x,-y,z'
'-x,y,z'
'x,-y,z'
'x,y+1/2,z+1/2'
'-x,-y+1/2,z+1/2'
'-x,y+1/2,z+1/2'
'x,-y+1/2,z+1/2'
loop_
_atom_site_label
_atom_site_type_symbol
_atom_site_fract_x
_atom_site_fract_y
_atom_site_fract_z
Sr1 Sr 0.0000 0.0000 0.0000
Sr2 Sr 0.5000 0.0000 0.2898
Cr1 Cr 0.5000 0.0000 0.5708
Te1 Te 0.0000 0.0000 0.7131

# PBE SrCrTe2, relaxed
# **Uncorrected formation energy**: -0.02 eV/atom
# **Density**: 5.634 Mg/m³
# **Total DFT energy (no corrections)**: -4.42 eV per atom
# **Total magnetic moment**: 1.028 μB/atom
data_SrCrTe2
_symmetry_space_group_name_H-M 'F -4 3 m'
_symmetry_Int_Tables_number 216
_symmetry_space_group_name_Hall 'F -4 2 3'
_cell_length_a 7.7497
_cell_length_b 7.7497
_cell_length_c 7.7497
_cell_angle_alpha 90.00
_cell_angle_beta 90.00
_cell_angle_gamma 90.00
loop_
_atom_site_label
_atom_site_type_symbol
_atom_site_fract_x
_atom_site_fract_y
_atom_site_fract_z
Sr1 Sr 0.0000 0.0000 0.0000
Cr1 Cr 0.2500 0.2500 0.7500
Te1 Te 0.0000 0.0000 0.5000
Te2 Te 0.2500 0.2500 0.2500

# PBE SrCrTe2, relaxed
# **Uncorrected formation energy**: -0.33 eV/atom
# **Density**: 4.732 Mg/m³
# **Total DFT energy (no corrections)**: -4.73 eV per atom
# **Total magnetic moment**: 0.812 μB/atom
data_SrCrTe2
_symmetry_space_group_name_H-M 'R -3 m'
_symmetry_Int_Tables_number 166
_symmetry_space_group_name_Hall '-R 3 2"'
_cell_length_a 4.1305
_cell_length_b 4.1305
_cell_length_c 28.1279
_cell_angle_alpha 90.00
_cell_angle_beta 90.00
_cell_angle_gamma 120.00
loop_
_atom_site_label
_atom_site_type_symbol
_atom_site_fract_x
_atom_site_fract_y
_atom_site_fract_z
Sr1 Sr 0.0000 0.0000 0.0000
Cr1 Cr 0.0000 0.0000 0.5000
Te1 Te 0.0000 0.0000 0.1157

# PBE SrCr2Te, relaxed
# **Uncorrected formation energy**: 0.13 eV/atom
# **Density**: 5.315 Mg/m³
# **Total DFT energy (no corrections)**: -5.89 eV per atom
# **Total magnetic moment**: 0.077 μB/atom
data_SrCr2Te
_symmetry_space_group_name_H-M 'P 4 m m'
_symmetry_Int_Tables_number 99
_cell_length_a 3.7341
_cell_length_b 3.7341
_cell_length_c 7.1520
_cell_angle_alpha 90.00
_cell_angle_beta 90.00
_cell_angle_gamma 90.00
loop_
_symmetry_equiv_pos_as_xyz
'x,y,z'
'-y,x,z'
'-x,-y,z'
'y,-x,z'
'-x,y,z'
'y,x,z'
'x,-y,z'
'-y,-x,z'
loop_
_atom_site_label
_atom_site_type_symbol
_atom_site_fract_x
_atom_site_fract_y
_atom_site_fract_z
Sr1 Sr 0.0000 0.0000 0.0000
Cr1 Cr 0.0000 0.0000 0.5343
Cr2 Cr 0.5000 0.5000 0.6694
Te1 Te 0.5000 0.5000 0.2909

# PBE Sr2CrTe, relaxed
# **Uncorrected formation energy**: -0.25 eV/atom
# **Density**: 3.785 Mg/m³
# **Total DFT energy (no corrections)**: -4.28 eV per atom
# **Total magnetic moment**: 1.425 μB/atom
data_Sr2CrTe
_symmetry_space_group_name_H-M 'C 1 2/m 1'
_symmetry_Int_Tables_number 12
_cell_length_a 8.0547
_cell_length_b 4.6359
_cell_length_c 8.7527
_cell_angle_alpha 90.00
_cell_angle_beta 107.72
_cell_angle_gamma 90.00
loop_
_symmetry_equiv_pos_as_xyz
'x,y,z'
'-x,-y,-z'
'-x,y,-z'
'x,-y,z'
'x+1/2,y+1/2,z'
'-x+1/2,-y+1/2,-z'
'-x+1/2,y+1/2,-z'
'x+1/2,-y+1/2,z'
loop_
_atom_site_label
_atom_site_type_symbol
_atom_site_fract_x
_atom_site_fract_y
_atom_site_fract_z
Sr1 Sr 0.2455 0.0000 0.2370
Cr1 Cr 0.0000 0.0000 0.5000
Te1 Te 0.0000 0.5000 0.0000

# PBE SrCr3Te, relaxed
# **Uncorrected formation energy**: 0.88 eV/atom
# **Density**: 4.223 Mg/m³
# **Total DFT energy (no corrections)**: -5.86 eV per atom
# **Total magnetic moment**: 2.441 μB/atom
data_SrCr3Te
_symmetry_space_group_name_H-M 'P m -3 m'
_symmetry_Int_Tables_number 221
_symmetry_space_group_name_Hall '-P 4 2 3'
_cell_length_a 5.2651
_cell_length_b 5.2651
_cell_length_c 5.2651
_cell_angle_alpha 90.00
_cell_angle_beta 90.00
_cell_angle_gamma 90.00
loop_
_atom_site_label
_atom_site_type_symbol
_atom_site_fract_x
_atom_site_fract_y
_atom_site_fract_z
Sr1 Sr 0.0000 0.0000 0.0000
Cr1 Cr 0.0000 0.5000 0.5000
Te1 Te 0.5000 0.5000 0.5000

# PBE SrCrTe2, relaxed
# **Uncorrected formation energy**: -0.64 eV/atom
# **Density**: 5.138 Mg/m³
# **Total DFT energy (no corrections)**: -5.04 eV per atom
# **Total magnetic moment**: 1.000 μB/atom
data_SrCrTe2
_symmetry_space_group_name_H-M 'P 4 m m'
_symmetry_Int_Tables_number 99
_cell_length_a 4.4473
_cell_length_b 4.4473
_cell_length_c 6.4511
_cell_angle_alpha 90.00
_cell_angle_beta 90.00
_cell_angle_gamma 90.00
loop_
_symmetry_equiv_pos_as_xyz
'x,y,z'
'-y,x,z'
'-x,-y,z'
'y,-x,z'
'-x,y,z'
'y,x,z'
'x,-y,z'
'-y,-x,z'
loop_
_atom_site_label
_atom_site_type_symbol
_atom_site_fract_x
_atom_site_fract_y
_atom_site_fract_z
Sr1 Sr 0.0000 0.0000 0.0000
Cr1 Cr 0.5000 0.5000 0.4843
Te1 Te 0.0000 0.0000 0.5039
Te2 Te 0.5000 0.5000 0.0432

# PBE Sr2CrTe, relaxed
# **Uncorrected formation energy**: -0.21 eV/atom
# **Density**: 3.798 Mg/m³
# **Total DFT energy (no corrections)**: -4.24 eV per atom
# **Total magnetic moment**: 1.409 μB/atom
data_Sr2CrTe
_symmetry_space_group_name_H-M 'P 4 m m'
_symmetry_Int_Tables_number 99
_cell_length_a 4.7707
_cell_length_b 4.7707
_cell_length_c 6.8164
_cell_angle_alpha 90.00
_cell_angle_beta 90.00
_cell_angle_gamma 90.00
loop_
_symmetry_equiv_pos_as_xyz
'x,y,z'
'-y,x,z'
'-x,-y,z'
'y,-x,z'
'-x,y,z'
'y,x,z'
'x,-y,z'
'-y,-x,z'
loop_
_atom_site_label
_atom_site_type_symbol
_atom_site_fract_x
_atom_site_fract_y
_atom_site_fract_z
Sr1 Sr 0.0000 0.0000 0.0000
Sr2 Sr 0.5000 0.5000 0.4986
Cr1 Cr 0.0000 0.0000 0.4997
Te1 Te 0.5000 0.5000 0.9987

# PBE SrCr2Te, relaxed
# **Uncorrected formation energy**: -0.12 eV/atom
# **Density**: 5.199 Mg/m³
# **Total DFT energy (no corrections)**: -6.14 eV per atom
# **Total magnetic moment**: 0.002 μB/atom
data_SrCr2Te
_symmetry_space_group_name_H-M 'R 3 m'
_symmetry_Int_Tables_number 160
_symmetry_space_group_name_Hall 'R 3 -2"'
_cell_length_a 4.3913
_cell_length_b 4.3913
_cell_length_c 18.3142
_cell_angle_alpha 90.00
_cell_angle_beta 90.00
_cell_angle_gamma 120.00
loop_
_atom_site_label
_atom_site_type_symbol
_atom_site_fract_x
_atom_site_fract_y
_atom_site_fract_z
Sr1 Sr 0.0000 0.0000 0.0000
Cr1 Cr 0.0000 0.0000 0.4598
Cr2 Cr 0.0000 0.0000 0.7916
Te1 Te 0.0000 0.0000 0.1997

# PBE Sr2CrTe, relaxed
# **Uncorrected formation energy**: -0.11 eV/atom
# **Density**: 4.063 Mg/m³
# **Total DFT energy (no corrections)**: -4.14 eV per atom
# **Total magnetic moment**: 1.423 μB/atom
data_Sr2CrTe
_symmetry_space_group_name_H-M 'P 4 m m'
_symmetry_Int_Tables_number 99
_cell_length_a 4.0926
_cell_length_b 4.0926
_cell_length_c 8.6591
_cell_angle_alpha 90.00
_cell_angle_beta 90.00
_cell_angle_gamma 90.00
loop_
_symmetry_equiv_pos_as_xyz
'x,y,z'
'-y,x,z'
'-x,-y,z'
'y,-x,z'
'-x,y,z'
'y,x,z'
'x,-y,z'
'-y,-x,z'
loop_
_atom_site_label
_atom_site_type_symbol
_atom_site_fract_x
_atom_site_fract_y
_atom_site_fract_z
Sr1 Sr 0.0000 0.0000 0.0000
Sr2 Sr 0.5000 0.5000 0.3922
Cr1 Cr 0.5000 0.5000 0.7750
Te1 Te 0.0000 0.0000 0.6124

# PBE SrCrTe2, relaxed
# **Uncorrected formation energy**: -0.67 eV/atom
# **Density**: 4.813 Mg/m³
# **Total DFT energy (no corrections)**: -5.06 eV per atom
# **Total magnetic moment**: 1.000 μB/atom
data_SrCrTe2
_symmetry_space_group_name_H-M 'P 1 m 1'
_symmetry_Int_Tables_number 6
_cell_length_a 4.7409
_cell_length_b 5.3316
_cell_length_c 5.4824
_cell_angle_alpha 90.00
_cell_angle_beta 100.61
_cell_angle_gamma 90.00
loop_
_symmetry_equiv_pos_as_xyz
'x,y,z'
'x,-y,z'
loop_
_atom_site_label
_atom_site_type_symbol
_atom_site_fract_x
_atom_site_fract_y
_atom_site_fract_z
Sr1 Sr 0.0000 0.0000 0.0000
Cr1 Cr 0.4924 0.5000 0.5640
Te1 Te 0.3625 0.0000 0.5575
Te2 Te 0.6246 0.5000 0.0868

# PBE Sr2CrTe, relaxed
# **Uncorrected formation energy**: 0.14 eV/atom
# **Density**: 4.500 Mg/m³
# **Total DFT energy (no corrections)**: -3.89 eV per atom
# **Total magnetic moment**: 1.190 μB/atom
data_Sr2CrTe
_symmetry_space_group_name_H-M 'F -4 3 m'
_symmetry_Int_Tables_number 216
_symmetry_space_group_name_Hall 'F -4 2 3'
_cell_length_a 8.0606
_cell_length_b 8.0606
_cell_length_c 8.0606
_cell_angle_alpha 90.00
_cell_angle_beta 90.00
_cell_angle_gamma 90.00
loop_
_atom_site_label
_atom_site_type_symbol
_atom_site_fract_x
_atom_site_fract_y
_atom_site_fract_z
Sr1 Sr 0.0000 0.0000 0.0000
Sr2 Sr 0.2500 0.2500 0.2500
Cr1 Cr 0.0000 0.0000 0.5000
Te1 Te 0.2500 0.2500 0.7500

# PBE SrCrTe2, relaxed
# **Uncorrected formation energy**: -0.51 eV/atom
# **Density**: 4.930 Mg/m³
# **Total DFT energy (no corrections)**: -4.91 eV per atom
# **Total magnetic moment**: 1.000 μB/atom
data_SrCrTe2
_symmetry_space_group_name_H-M 'C m m m'
_symmetry_Int_Tables_number 65
_symmetry_space_group_name_Hall '-C 2 2'
_cell_length_a 4.3410
_cell_length_b 7.5542
_cell_length_c 8.1113
_cell_angle_alpha 90.00
_cell_angle_beta 90.00
_cell_angle_gamma 90.00
loop_
_atom_site_label
_atom_site_type_symbol
_atom_site_fract_x
_atom_site_fract_y
_atom_site_fract_z
Sr1 Sr 0.0000 0.0000 0.0000
Cr1 Cr 0.0000 0.0000 0.5000
Te1 Te 0.0000 0.5000 0.2843

# PBE SrCr2Te, relaxed
# **Uncorrected formation energy**: 0.21 eV/atom
# **Density**: 4.936 Mg/m³
# **Total DFT energy (no corrections)**: -5.81 eV per atom
# **Total magnetic moment**: 0.005 μB/atom
data_SrCr2Te
_symmetry_space_group_name_H-M 'I m m 2'
_symmetry_Int_Tables_number 44
_cell_length_a 4.5549
_cell_length_b 6.1723
_cell_length_c 7.6391
_cell_angle_alpha 90.00
_cell_angle_beta 90.00
_cell_angle_gamma 90.00
loop_
_symmetry_equiv_pos_as_xyz
'x,y,z'
'-x,-y,z'
'-x,y,z'
'x,-y,z'
'x+1/2,y+1/2,z+1/2'
'-x+1/2,-y+1/2,z+1/2'
'-x+1/2,y+1/2,z+1/2'
'x+1/2,-y+1/2,z+1/2'
loop_
_atom_site_label
_atom_site_type_symbol
_atom_site_fract_x
_atom_site_fract_y
_atom_site_fract_z
Sr1 Sr 0.0000 0.0000 0.0000
Cr1 Cr 0.0000 0.0000 0.4786
Cr2 Cr 0.0000 0.5000 0.8189
Te1 Te 0.0000 0.5000 0.1885

# PBE SrCr2Te, relaxed
# **Uncorrected formation energy**: 0.51 eV/atom
# **Density**: 4.891 Mg/m³
# **Total DFT energy (no corrections)**: -5.51 eV per atom
# **Total magnetic moment**: 2.479 μB/atom
data_SrCr2Te
_symmetry_space_group_name_H-M 'F -4 3 m'
_symmetry_Int_Tables_number 216
_symmetry_space_group_name_Hall 'F -4 2 3'
_cell_length_a 7.5681
_cell_length_b 7.5681
_cell_length_c 7.5681
_cell_angle_alpha 90.00
_cell_angle_beta 90.00
_cell_angle_gamma 90.00
loop_
_atom_site_label
_atom_site_type_symbol
_atom_site_fract_x
_atom_site_fract_y
_atom_site_fract_z
Sr1 Sr 0.0000 0.0000 0.0000
Cr1 Cr 0.0000 0.0000 0.5000
Cr2 Cr 0.2500 0.2500 0.7500
Te1 Te 0.2500 0.2500 0.2500